[1]
DFT (PBE) results for a relaxed structure of Pu6PdPt2.

POSCAR file:
```
Pu6PdPt2
1.0
7.991 0.000 0.000
-3.995 6.920 0.000
0.000 0.000 2.747
Pu Pd Pt
6 1 2
direct
0.000 0.319 0.046
0.000 0.681 0.954
0.319 0.000 0.046
0.319 0.319 0.954
0.681 0.000 0.954
0.681 0.681 0.046
0.000 0.000 0.500
0.333 0.667 0.500
0.667 0.333 0.500
```

Summary:
Volume = 152 Å³ per cell
Crystal system = trigonal
Energy of formation = 0.083 eV per atom
Total magnetic moment = 0.00 Bohr magnetons per cell
E above lowest polymorph = 488 meV/atom

=====

[2]
DFT (PBE) results for a relaxed structure of RbSr3Br.

POSCAR file:
```
RbSr3Br
1.0
7.651 0.000 0.000
0.000 7.651 0.000
0.000 0.000 7.651
Rb Sr Br
1 3 1
direct
0.000 0.000 0.000
0.000 0.000 0.500
0.000 0.500 0.000
0.500 0.000 0.000
0.500 0.500 0.500
```

Summary:
Volume = 448 Å³ per cell
Crystal system = cubic
Formation energy without anion corrections = 0.462 eV/atom
Total magnetic moment = 0.00 Bohr magnetons per cell
E above lowest polymorph = 814 meV/atom

=====

[3]
DFT (PBE) results for a relaxed structure of Tb4NpRu4.

POSCAR file:
```
Tb4NpRu4
1.0
8.540 0.000 0.000
0.000 8.540 0.000
0.000 0.000 5.779
Tb Np Ru
8 2 8
direct
0.054 0.680 0.138
0.180 0.946 0.638
0.320 0.554 0.638
0.446 0.820 0.138
0.554 0.180 0.862
0.680 0.446 0.362
0.820 0.054 0.362
0.946 0.320 0.862
0.250 0.250 0.250
0.750 0.750 0.750
0.012 0.367 0.365
0.133 0.012 0.135
0.367 0.488 0.135
0.488 0.133 0.365
0.512 0.867 0.635
0.633 0.512 0.865
0.867 0.988 0.865
0.988 0.633 0.635
```

Summary:
Volume = 421 Å³ per cell
Crystal system = tetragonal
Energy of formation = -0.187 eV per atom
Total magnetic moment = 1.02 Bohr magnetons per cell

=====

[4]
DFT (PBE) results for a relaxed structure of LaP2Se.

POSCAR file:
```
LaP2Se
1.0
4.259 0.000 0.000
0.000 4.259 0.000
0.000 0.000 20.333
La P Se
4 8 4
direct
0.000 0.000 0.000
0.000 0.500 0.250
0.500 0.000 0.750
0.500 0.500 0.500
0.130 0.250 0.625
0.250 0.630 0.875
0.250 0.870 0.375
0.370 0.250 0.125
0.630 0.750 0.125
0.750 0.130 0.375
0.750 0.370 0.875
0.870 0.750 0.625
0.000 0.000 0.500
0.000 0.500 0.750
0.500 0.000 0.250
0.500 0.500 0.000
```

Summary:
Volume = 369 Å³ per cell
Crystal system = tetragonal
Formation energy without anion corrections = -0.580 eV/atom
Total magnetic moment = 0.00 Bohr magnetons per cell

=====

[5]
DFT (PBE) results for a relaxed structure of PrScTl.

POSCAR file:
```
PrScTl
1.0
5.123 0.000 0.000
-2.562 4.437 0.000
0.000 0.000 3.813
Pr Sc Tl
1 1 1
direct
0.000 0.000 0.000
0.333 0.667 0.500
0.667 0.333 0.500
```

Summary:
Volume = 87 Å³ per cell
Crystal system = hexagonal
Energy of formation = -0.196 eV per atom
Total magnetic moment = 0.01 Bohr magnetons per cell
E above lowest polymorph = 94 meV/atom

=====

[6]
DFT (PBE) results for a relaxed structure of PrScZn2Ga2.

POSCAR file:
```
PrScZn2Ga2
1.0
4.386 0.000 0.000
-2.193 3.798 0.000
0.000 0.000 7.217
Pr Sc Zn Ga
1 1 2 2
direct
0.000 0.000 0.000
0.000 0.000 0.500
0.333 0.667 0.298
0.667 0.333 0.702
0.333 0.667 0.719
0.667 0.333 0.281
```

Summary:
Volume = 120 Å³ per cell
Crystal system = trigonal
Energy of formation = -0.559 eV per atom
Total magnetic moment = 0.00 Bohr magnetons per cell

=====

[7]
DFT (PBE) results for a relaxed structure of Ca3La2YTe6.

POSCAR file:
```
Ca3La2YTe6
1.0
9.877 -2.236 0.000
9.877 2.236 0.000
-2.267 0.000 8.799
Ca La Y Te
3 2 1 6
direct
0.000 0.000 0.000
0.331 0.331 0.666
0.669 0.669 0.334
0.333 0.333 0.165
0.667 0.667 0.835
0.000 0.000 0.500
0.163 0.163 0.090
0.164 0.164 0.575
0.497 0.497 0.743
0.503 0.503 0.257
0.836 0.836 0.425
0.837 0.837 0.910
```

Summary:
Volume = 389 Å³ per cell
Crystal system = monoclinic
Formation energy without anion corrections = -1.545 eV/atom
Total magnetic moment = 0.00 Bohr magnetons per cell

=====

[8]
DFT (PBE) results for a relaxed structure of KTl3Cu2F9.

POSCAR file:
```
KTl3Cu2F9
1.0
6.016 0.000 0.000
-3.008 5.210 0.000
0.000 0.000 8.022
K Tl Cu F
1 3 2 9
direct
0.000 0.000 0.000
0.000 0.000 0.500
0.333 0.667 0.201
0.667 0.333 0.799
0.333 0.667 0.647
0.667 0.333 0.353
0.000 0.500 0.500
0.179 0.359 0.780
0.179 0.821 0.780
0.359 0.179 0.220
0.500 0.000 0.500
0.500 0.500 0.500
0.641 0.821 0.780
0.821 0.179 0.220
0.821 0.641 0.220
```

Summary:
Volume = 251 Å³ per cell
Crystal system = trigonal
Formation energy without anion corrections = -1.788 eV/atom
Total magnetic moment = 3.05 Bohr magnetons per cell

=====

[9]
DFT (PBE) results for a relaxed structure of SrNdMgAl.

POSCAR file:
```
SrNdMgAl
1.0
7.816 0.000 0.000
0.000 7.816 0.000
0.000 0.000 7.816
Sr Nd Mg Al
4 4 4 4
direct
0.000 0.000 0.000
0.000 0.500 0.500
0.500 0.000 0.500
0.500 0.500 0.000
0.000 0.000 0.500
0.000 0.500 0.000
0.500 0.000 0.000
0.500 0.500 0.500
0.250 0.250 0.750
0.250 0.750 0.250
0.750 0.250 0.250
0.750 0.750 0.750
0.250 0.250 0.250
0.250 0.750 0.750
0.750 0.250 0.750
0.750 0.750 0.250
```

Summary:
Volume = 478 Å³ per cell
Crystal system = cubic
Energy of formation = -0.128 eV per atom
Total magnetic moment = 0.00 Bohr magnetons per cell

=====

[10]
DFT (PBE) results for a relaxed structure of CsTlTcCl6.

POSCAR file:
```
CsTlTcCl6
1.0
7.658 0.000 0.000
-3.829 6.632 0.000
0.000 0.000 13.412
Cs Tl Tc Cl
2 2 2 12
direct
0.000 0.000 0.000
0.000 0.000 0.500
0.333 0.667 0.250
0.667 0.333 0.750
0.333 0.667 0.750
0.667 0.333 0.250
0.079 0.415 0.647
0.079 0.664 0.853
0.336 0.415 0.853
0.336 0.921 0.647
0.415 0.079 0.147
0.415 0.336 0.353
0.585 0.664 0.647
0.585 0.921 0.853
0.664 0.079 0.353
0.664 0.585 0.147
0.921 0.336 0.147
0.921 0.585 0.353
```

Summary:
Volume = 681 Å³ per cell
Crystal system = trigonal
Formation energy without anion corrections = -1.111 eV/atom
Total magnetic moment = 6.00 Bohr magnetons per cell

=====

[11]
DFT (PBE) results for a relaxed structure of ReSnRhF2.

POSCAR file:
```
ReSnRhF2
1.0
3.971 0.000 0.000
0.000 3.971 0.000
0.000 0.000 5.335
Re Sn Rh F
1 1 1 2
direct
0.000 0.000 0.000
0.500 0.500 0.500
0.000 0.000 0.500
0.000 0.500 0.000
0.500 0.000 0.000
```

Summary:
Volume = 84 Å³ per cell
Crystal system = tetragonal
Formation energy without anion corrections = -0.450 eV/atom
Total magnetic moment = 1.11 Bohr magnetons per cell

=====

[12]
DFT (PBE) results for a relaxed structure of PmPrCdSn.

POSCAR file:
```
PmPrCdSn
1.0
7.703 0.000 0.000
0.000 7.703 0.000
0.000 0.000 7.703
Pm Pr Cd Sn
4 4 4 4
direct
0.000 0.000 0.000
0.000 0.500 0.500
0.500 0.000 0.500
0.500 0.500 0.000
0.000 0.000 0.500
0.000 0.500 0.000
0.500 0.000 0.000
0.500 0.500 0.500
0.250 0.250 0.250
0.250 0.750 0.750
0.750 0.250 0.750
0.750 0.750 0.250
0.250 0.250 0.750
0.250 0.750 0.250
0.750 0.250 0.250
0.750 0.750 0.750
```

Summary:
Volume = 457 Å³ per cell
Crystal system = cubic
Energy of formation = -0.537 eV per atom
Total magnetic moment = 0.00 Bohr magnetons per cell

=====

[13]
DFT (PBE) results for a relaxed structure of Te2WICl.

POSCAR file:
```
Te2WICl
1.0
5.485 0.000 0.000
0.000 5.485 0.000
0.000 0.000 5.321
Te W I Cl
2 1 1 1
direct
0.000 0.500 0.000
0.500 0.000 0.000
0.000 0.000 0.500
0.500 0.500 0.500
0.500 0.500 0.000
```

Summary:
Volume = 160 Å³ per cell
Crystal system = tetragonal
Formation energy without anion corrections = 1.684 eV/atom
Total magnetic moment = 3.14 Bohr magnetons per cell
E above lowest polymorph = 1307 meV/atom